The following is a GGA-PBE calculation of an optimized crystal structure of ZnMoPS2, from the Alexandria database.

Lattice parameters (Å, degrees): 4.623 4.623 4.524 90.00 90.00 90.00
Sites, in units of the cell vectors:
Zn1 0.000 0.000 0.000
Mo1 0.500 0.500 0.500
P1 0.000 0.000 0.500
S1 0.000 0.500 0.000
S2 0.500 0.000 0.000

Results
ΔE_f (raw) = 1012 meV per atom
space-group type = P4/mmm (123)



The following is a GGA-PBE calculation of an optimized crystal structure of PaTiAu2, from the Alexandria database.

Lattice parameters (Å, degrees): 4.782 4.782 12.878 90.00 90.00 120.00
Sites, in units of the cell vectors:
Pa1 0.000 0.000 0.000
Pa2 0.333 0.667 0.667
Pa3 0.667 0.333 0.333
Ti1 0.000 0.000 0.500
Ti2 0.333 0.667 0.167
Ti3 0.667 0.333 0.833
Au1 0.000 0.000 0.233
Au2 0.000 0.000 0.767
Au3 0.333 0.667 0.433
Au4 0.333 0.667 0.900
Au5 0.667 0.333 0.100
Au6 0.667 0.333 0.567

Results
energy of formation = -0.207 eV/atom
space-group type = R-3m (166)



The following is a GGA-PBE calculation of an optimized crystal structure of AcPrDyHg, from the Alexandria database.

Lattice parameters (Å, degrees): 3.810 3.810 9.028 90.00 90.00 90.00
Sites, in units of the cell vectors:
Ac1 0.000 0.000 0.000
Pr1 0.500 0.500 0.702
Dy1 0.500 0.500 0.286
Hg1 0.000 0.000 0.474

Results
energy of formation = -0.216 eV/atom
space-group type = P4mm (99)



The following is a GGA-PBE calculation of an optimized crystal structure of HoTmBe2Si2, from the Alexandria database.

Lattice parameters (Å, degrees): 3.846 3.846 7.959 90.00 90.00 120.00
Sites, in units of the cell vectors:
Ho1 0.000 0.000 0.000
Tm1 0.000 0.000 0.500
Be1 0.333 0.667 0.747
Be2 0.667 0.333 0.253
Si1 0.333 0.667 0.252
Si2 0.667 0.333 0.748

Results
ΔE_f (raw) = -654 meV per atom
space-group type = P-3m1 (164)



The following is a GGA-PBE calculation of an optimized crystal structure of CaZnSi2Au5, from the Alexandria database.

Lattice parameters (Å, degrees): 4.467 4.467 9.825 90.00 90.00 90.00
Sites, in units of the cell vectors:
Ca1 0.000 0.000 0.000
Zn1 0.000 0.000 0.500
Si1 0.500 0.500 0.241
Si2 0.500 0.500 0.759
Au1 0.000 0.500 0.343
Au2 0.000 0.500 0.657
Au3 0.500 0.000 0.343
Au4 0.500 0.000 0.657
Au5 0.500 0.500 0.000

Results
ΔE_f (raw) = -234 meV per atom
space-group type = P4/mmm (123)



The following is a GGA-PBE calculation of an optimized crystal structure of Tb2YSi2Rh5, from the Alexandria database.

Lattice parameters (Å, degrees): 10.015 10.015 3.544 90.00 90.00 90.00
Sites, in units of the cell vectors:
Tb1 0.174 0.326 0.000
Tb2 0.326 0.826 0.000
Tb3 0.674 0.174 0.000
Tb4 0.826 0.674 0.000
Y1 0.000 0.000 0.000
Y2 0.500 0.500 0.000
Si1 0.122 0.622 0.000
Si2 0.378 0.122 0.000
Si3 0.622 0.878 0.000
Si4 0.878 0.378 0.000
Rh1 0.000 0.500 0.500
Rh2 0.070 0.777 0.500
Rh3 0.223 0.070 0.500
Rh4 0.277 0.570 0.500
Rh5 0.430 0.277 0.500
Rh6 0.500 0.000 0.500
Rh7 0.570 0.723 0.500
Rh8 0.723 0.430 0.500
Rh9 0.777 0.930 0.500
Rh10 0.930 0.223 0.500

Results
ΔE_f (raw) = -987 meV per atom
space-group type = P4/mbm (127)